(1)
A relaxed structure of Sr4AsRu, computed with PBE-GGA.

total DFT energy (no corrections)	-15.32	eV for the cell shown
crystal system	cubic
energy of formation from the pure elements	0.89	eV/atom
DOS(E_F)	7.91	states/eV/cell

POSCAR file:
```
Sr4AsRu
1.0
0.000 4.600 4.600
4.600 0.000 4.600
4.600 4.600 0.000
Sr As Ru
4 1 1
direct
0.125 0.125 0.125
0.125 0.125 0.625
0.125 0.625 0.125
0.625 0.125 0.125
0.750 0.750 0.750
0.500 0.500 0.500
```

---

(2)
A relaxed structure of HgC3, computed with PBE-GGA.

total DFT energy (no corrections)	-22.34	eV for the cell shown
excess energy over the best structure of this formula in the dataset	0.667	eV per atom
crystal system	tetragonal
energy of formation from the pure elements	1.41	eV/atom
DOS(E_F)	0.86	states/eV/cell

POSCAR file:
```
HgC3
1.0
2.704 0.000 0.000
0.000 2.704 0.000
0.000 0.000 5.488
Hg C
1 3
direct
0.000 0.000 0.000
0.000 0.500 0.352
0.500 0.000 0.648
0.500 0.500 0.500
```

---

(3)
A relaxed structure of Pm12Dy7Er, computed with PBE-GGA.

total DFT energy (no corrections)	-88.31	eV for the cell shown
excess energy over the best structure of this formula in the dataset	0.035	eV per atom
crystal system	trigonal
energy of formation from the pure elements	0.27	eV/atom
DOS(E_F)	25.83	states/eV/cell

POSCAR file:
```
Pm12Dy7Er
1.0
6.448 3.723 4.715
-6.448 3.723 4.715
0.000 -7.446 4.715
Pm Dy Er
12 7 1
direct
0.012 0.083 0.350
0.083 0.350 0.012
0.191 0.751 0.325
0.249 0.675 0.809
0.325 0.191 0.751
0.350 0.012 0.083
0.650 0.988 0.917
0.675 0.809 0.249
0.751 0.325 0.191
0.809 0.249 0.675
0.917 0.650 0.988
0.988 0.917 0.650
0.000 0.000 0.000
0.148 0.410 0.471
0.410 0.471 0.148
0.471 0.148 0.410
0.529 0.852 0.590
0.590 0.529 0.852
0.852 0.590 0.529
0.500 0.500 0.500
```

---

(4)
A relaxed structure of SbRhBr2, computed with PBE-GGA.

total DFT energy (no corrections)	-30.16	eV for the cell shown
excess energy over the best structure of this formula in the dataset	0.376	eV per atom
ΔE_f (raw)	-65.6	meV per atom
crystal system	orthorhombic
DOS(E_F)	4.16	states/eV/cell

POSCAR file:
```
SbRhBr2
1.0
5.403 0.000 0.000
0.000 13.330 0.000
0.000 0.000 3.443
Sb Rh Br
2 2 4
direct
0.000 0.000 0.000
0.500 0.500 0.000
0.000 0.500 0.000
0.500 0.000 0.000
0.000 0.364 0.500
0.000 0.636 0.500
0.500 0.136 0.500
0.500 0.864 0.500
```

---

(5)
A relaxed structure of Pm3Th2Pt4, computed with PBE-GGA.

total DFT energy (no corrections)	-62.46	eV for the cell shown
crystal system	trigonal
energy of formation from the pure elements	-1.02	eV/atom
DOS(E_F)	6.47	states/eV/cell

POSCAR file:
```
Pm3Th2Pt4
1.0
4.118 0.000 0.000
-2.059 3.567 0.000
0.000 0.000 17.065
Pm Th Pt
3 2 4
direct
0.000 0.000 0.000
0.333 0.667 0.594
0.667 0.333 0.406
0.333 0.667 0.206
0.667 0.333 0.794
0.000 0.000 0.309
0.000 0.000 0.691
0.333 0.667 0.893
0.667 0.333 0.107
```

---

(6)
A relaxed structure of ReOsCl2, computed with PBE-GGA.

total DFT energy (no corrections)	-20.36	eV for the cell shown
excess energy over the best structure of this formula in the dataset	1.768	eV per atom
ΔE_f (raw)	1753.7	meV per atom
crystal system	orthorhombic
DOS(E_F)	4.35	states/eV/cell

POSCAR file:
```
ReOsCl2
1.0
2.833 0.000 0.000
0.000 3.956 0.000
0.000 0.000 5.565
Re Os Cl
1 1 2
direct
0.000 0.000 0.000
0.000 0.000 0.500
0.500 0.500 0.246
0.500 0.500 0.754
```

---

(7)
A relaxed structure of TiBe2VPb, computed with PBE-GGA.

total DFT energy (no corrections)	-20.33	eV for the cell shown
crystal system	tetragonal
energy of formation from the pure elements	1.57	eV/atom
DOS(E_F)	7.60	states/eV/cell

POSCAR file:
```
TiBe2VPb
1.0
4.431 0.000 0.000
0.000 4.431 0.000
0.000 0.000 5.094
Ti Be V Pb
1 2 1 1
direct
0.000 0.000 0.000
0.000 0.500 0.000
0.500 0.000 0.000
0.500 0.500 0.500
0.000 0.000 0.500
```

---

(8)
A relaxed structure of K2HoAg2Br6, computed with PBE-GGA.

total DFT energy (no corrections)	-35.96	eV for the cell shown
ΔE_f (raw)	-1222.9	meV per atom
crystal system	monoclinic
DOS(E_F)	2.27	states/eV/cell

POSCAR file:
```
K2HoAg2Br6
1.0
6.441 -4.194 0.000
6.441 4.194 0.000
-3.963 0.000 7.450
K Ho Ag Br
2 1 2 6
direct
0.221 0.221 0.141
0.779 0.779 0.859
0.000 0.000 0.500
0.442 0.442 0.817
0.558 0.558 0.183
0.162 0.701 0.226
0.225 0.225 0.530
0.299 0.838 0.774
0.701 0.162 0.226
0.775 0.775 0.470
0.838 0.299 0.774
```

---

(9)
A relaxed structure of HgN, computed with PBE-GGA.

total DFT energy (no corrections)	-21.79	eV for the cell shown
excess energy over the best structure of this formula in the dataset	1.539	eV per atom
ΔE_f (raw)	1590.1	meV per atom
crystal system	tetragonal
DOS(E_F)	6.44	states/eV/cell

POSCAR file:
```
HgN
1.0
6.495 0.000 0.000
0.000 6.495 0.000
0.000 0.000 3.486
Hg N
4 4
direct
0.193 0.193 0.000
0.307 0.693 0.500
0.693 0.307 0.500
0.807 0.807 0.000
0.157 0.843 0.000
0.343 0.343 0.500
0.657 0.657 0.500
0.843 0.157 0.000
```

---

(10)
A relaxed structure of TiAlAs2Br, computed with PBE-GGA.

total DFT energy (no corrections)	-22.50	eV for the cell shown
excess energy over the best structure of this formula in the dataset	0.000	eV per atom
ΔE_f (raw)	21.0	meV per atom
crystal system	tetragonal
DOS(E_F)	3.17	states/eV/cell

POSCAR file:
```
TiAlAs2Br
1.0
4.855 0.000 0.000
0.000 4.855 0.000
0.000 0.000 5.475
Ti Al As Br
1 1 2 1
direct
0.000 0.000 0.000
0.500 0.500 0.500
0.000 0.500 0.000
0.500 0.000 0.000
0.000 0.000 0.500
```

---

(11)
A relaxed structure of NaTlCd3, computed with PBE-GGA.

total DFT energy (no corrections)	-5.08	eV for the cell shown
excess energy over the best structure of this formula in the dataset	0.292	eV per atom
crystal system	cubic
energy of formation from the pure elements	0.27	eV/atom
DOS(E_F)	2.26	states/eV/cell

POSCAR file:
```
NaTlCd3
1.0
5.683 0.000 0.000
0.000 5.683 0.000
0.000 0.000 5.683
Na Tl Cd
1 1 3
direct
0.000 0.000 0.000
0.500 0.500 0.500
0.000 0.500 0.500
0.500 0.000 0.500
0.500 0.500 0.000
```

---

(12)
A relaxed structure of Zr4AlSe, computed with PBE-GGA.

total DFT energy (no corrections)	-40.16	eV for the cell shown
ΔE_f (raw)	210.6	meV per atom
crystal system	cubic
DOS(E_F)	6.32	states/eV/cell

POSCAR file:
```
Zr4AlSe
1.0
0.000 4.064 4.064
4.064 0.000 4.064
4.064 4.064 0.000
Zr Al Se
4 1 1
direct
0.123 0.123 0.123
0.123 0.123 0.630
0.123 0.630 0.123
0.630 0.123 0.123
0.750 0.750 0.750
0.500 0.500 0.500
```

---

(13)
A relaxed structure of TiCuGe, computed with PBE-GGA.

total DFT energy (no corrections)	-70.55	eV for the cell shown
crystal system	orthorhombic
energy of formation from the pure elements	-0.34	eV/atom
DOS(E_F)	8.04	states/eV/cell

POSCAR file:
```
TiCuGe
1.0
3.769 0.000 0.000
0.000 9.160 0.000
0.000 0.000 5.143
Ti Cu Ge
4 4 4
direct
0.000 0.200 0.250
0.000 0.800 0.750
0.500 0.300 0.750
0.500 0.700 0.250
0.000 0.500 0.000
0.000 0.500 0.500
0.500 0.000 0.000
0.500 0.000 0.500
0.000 0.107 0.750
0.000 0.893 0.250
0.500 0.393 0.250
0.500 0.607 0.750
```

---

(14)
A relaxed structure of KCa2LaPt, computed with PBE-GGA.

total DFT energy (no corrections)	-18.06	eV for the cell shown
crystal system	tetragonal
energy of formation from the pure elements	-0.40	eV/atom
DOS(E_F)	4.85	states/eV/cell

POSCAR file:
```
KCa2LaPt
1.0
5.905 0.000 0.000
0.000 5.905 0.000
0.000 0.000 5.616
K Ca La Pt
1 2 1 1
direct
0.000 0.000 0.000
0.000 0.500 0.500
0.500 0.000 0.500
0.500 0.500 0.000
0.500 0.500 0.500
```

---

(15)
A relaxed structure of Pr6As2S3Cl, computed with PBE-GGA.

total DFT energy (no corrections)	-73.58	eV for the cell shown
ΔE_f (raw)	-1780.9	meV per atom
crystal system	monoclinic
DOS(E_F)	4.83	states/eV/cell

POSCAR file:
```
Pr6As2S3Cl
1.0
9.141 -2.097 0.000
9.141 2.097 0.000
-1.942 0.000 8.160
Pr As S Cl
6 2 3 1
direct
0.001 0.001 0.226
0.324 0.324 0.415
0.333 0.333 0.914
0.667 0.667 0.086
0.676 0.676 0.585
0.999 0.999 0.774
0.164 0.164 0.828
0.836 0.836 0.172
0.164 0.164 0.334
0.500 0.500 0.000
0.836 0.836 0.666
0.500 0.500 0.500
```

---

(16)
A relaxed structure of V3Fe2Mo, computed with PBE-GGA.

total DFT energy (no corrections)	-55.71	eV for the cell shown
excess energy over the best structure of this formula in the dataset	0.014	eV per atom
crystal system	tetragonal
energy of formation from the pure elements	-0.10	eV/atom
DOS(E_F)	5.87	states/eV/cell

POSCAR file:
```
V3Fe2Mo
1.0
2.976 0.000 0.000
0.000 2.976 0.000
0.000 0.000 8.721
V Fe Mo
3 2 1
direct
0.000 0.000 0.000
0.000 0.000 0.325
0.000 0.000 0.675
0.500 0.500 0.159
0.500 0.500 0.841
0.500 0.500 0.500
```

---

(17)
A relaxed structure of BeNbAg2, computed with PBE-GGA.

total DFT energy (no corrections)	-67.70	eV for the cell shown
crystal system	tetragonal
energy of formation from the pure elements	0.64	eV/atom
DOS(E_F)	19.53	states/eV/cell

POSCAR file:
```
BeNbAg2
1.0
7.180 0.000 0.000
0.000 7.180 0.000
0.000 0.000 5.143
Be Nb Ag
4 4 8
direct
0.000 0.000 0.000
0.000 0.500 0.250
0.500 0.000 0.750
0.500 0.500 0.500
0.000 0.000 0.500
0.000 0.500 0.750
0.500 0.000 0.250
0.500 0.500 0.000
0.183 0.750 0.125
0.250 0.183 0.875
0.250 0.317 0.375
0.317 0.750 0.625
0.683 0.250 0.625
0.750 0.683 0.375
0.750 0.817 0.875
0.817 0.250 0.125
```

---

(18)
A relaxed structure of Cs2NaHgAu, computed with PBE-GGA.

total DFT energy (no corrections)	-15.44	eV for the cell shown
excess energy over the best structure of this formula in the dataset	0.000	eV per atom
crystal system	monoclinic
energy of formation from the pure elements	-0.22	eV/atom
DOS(E_F)	5.16	states/eV/cell

POSCAR file:
```
Cs2NaHgAu
1.0
9.511 0.000 0.000
0.000 5.224 0.000
-4.035 0.000 8.812
Cs Na Hg Au
4 2 2 2
direct
0.046 0.250 0.212
0.347 0.750 0.602
0.653 0.250 0.398
0.954 0.750 0.788
0.337 0.250 0.922
0.663 0.750 0.078
0.340 0.750 0.138
0.660 0.250 0.862
0.071 0.250 0.591
0.929 0.750 0.409
```

---

(19)
A relaxed structure of SrF8, computed with PBE-GGA.

total DFT energy (no corrections)	-25.50	eV for the cell shown
ΔE_f (raw)	-982.9	meV per atom
crystal system	tetragonal
DOS(E_F)	7.30	states/eV/cell

POSCAR file:
```
SrF8
1.0
-4.274 4.274 2.162
4.274 -4.274 2.162
4.274 4.274 -2.162
Sr F
1 8
direct
0.000 0.000 0.000
0.000 0.417 0.417
0.000 0.583 0.583
0.368 0.368 0.736
0.368 0.632 0.000
0.417 0.000 0.417
0.583 0.000 0.583
0.632 0.368 0.000
0.632 0.632 0.264
```

---

(20)
A relaxed structure of Be2Al2Ag, computed with PBE-GGA.

total DFT energy (no corrections)	-32.02	eV for the cell shown
excess energy over the best structure of this formula in the dataset	0.179	eV per atom
crystal system	tetragonal
energy of formation from the pure elements	0.36	eV/atom
DOS(E_F)	4.06	states/eV/cell

POSCAR file:
```
Be2Al2Ag
1.0
3.684 0.000 0.000
0.000 3.684 0.000
0.000 0.000 10.866
Be Al Ag
4 4 2
direct
0.000 0.000 0.098
0.000 0.000 0.902
0.500 0.500 0.402
0.500 0.500 0.598
0.000 0.500 0.250
0.000 0.500 0.750
0.500 0.000 0.250
0.500 0.000 0.750
0.000 0.000 0.500
0.500 0.500 0.000
```